Below is a crystal of BaSi2B2O8 relaxed with PBEsol, with properties calculated at the SCAN level.

a = 8.2047 Å, b = 8.2094 Å, c = 9.0808 Å
α = 90.00°, β = 90.00°, γ = 90.00°
Last column: nearest neighbours and their distance in Å.
Atoms (fractional coordinates):
1 Ba 0.7500 0.6119 0.0831  7 O 2.66-2.79
2 Ba 0.2500 0.8881 0.5831  7 O 2.66-2.79
3 Ba 0.7500 0.1119 0.4169  7 O 2.66-2.79
4 Ba 0.2500 0.3881 0.9169  7 O 2.66-2.79
5 O 0.2500 0.7095 0.8821  2 B 1.46
6 O 0.5443 0.2179 0.9308  1 B 1.48, 1 Si 1.63
7 O 0.0443 0.7821 0.0692  1 B 1.48, 1 Si 1.63
8 O 0.7500 0.9966 0.8123  2 Si 1.64
9 O 0.0303 0.8545 0.3539  1 B 1.50, 1 Si 1.63
10 O 0.4342 0.4277 0.6638  1 B 1.46, 1 Si 1.62
11 O 0.9697 0.6455 0.8539  1 B 1.50, 1 Si 1.63
12 O 0.5303 0.1455 0.6461  1 B 1.50, 1 Si 1.63
13 O 0.0658 0.4277 0.6638  1 B 1.46, 1 Si 1.62
14 O 0.4557 0.7821 0.0692  1 B 1.48, 1 Si 1.63
15 O 0.9342 0.0723 0.1638  1 B 1.46, 1 Si 1.62
16 O 0.0443 0.2821 0.4308  1 B 1.48, 1 Si 1.63
17 O 0.7500 0.4966 0.6877  2 Si 1.64
18 O 0.0303 0.3545 0.1461  1 B 1.50, 1 Si 1.63
19 O 0.9557 0.7179 0.5692  1 B 1.48, 1 Si 1.63
20 O 0.2500 0.2095 0.6179  2 B 1.46
21 O 0.4557 0.2821 0.4308  1 B 1.48, 1 Si 1.63
22 O 0.7500 0.7905 0.3821  2 B 1.46
23 O 0.9342 0.5723 0.3362  1 B 1.46, 1 Si 1.62
24 O 0.5443 0.7179 0.5692  1 B 1.48, 1 Si 1.63
25 O 0.2500 0.0034 0.1877  2 Si 1.64
26 O 0.9697 0.1455 0.6461  1 B 1.50, 1 Si 1.63
27 O 0.9557 0.2179 0.9308  1 B 1.48, 1 Si 1.63
28 O 0.2500 0.5034 0.3123  2 Si 1.64
29 O 0.4342 0.9277 0.8362  1 B 1.46, 1 Si 1.62
30 O 0.0658 0.9277 0.8362  1 B 1.46, 1 Si 1.62
31 O 0.7500 0.2905 0.1179  2 B 1.46
32 O 0.4697 0.8545 0.3539  1 B 1.50, 1 Si 1.63
33 O 0.4697 0.3545 0.1461  1 B 1.50, 1 Si 1.63
34 O 0.5658 0.0723 0.1638  1 B 1.46, 1 Si 1.62
35 O 0.5658 0.5723 0.3362  1 B 1.46, 1 Si 1.62
36 O 0.5303 0.6455 0.8539  1 B 1.50, 1 Si 1.63
37 Si 0.4344 0.9276 0.1895  4 O 1.62-1.64
38 Si 0.5656 0.0724 0.8105  4 O 1.62-1.64
39 Si 0.0656 0.9276 0.1895  4 O 1.62-1.64
40 Si 0.9344 0.0724 0.8105  4 O 1.62-1.64
41 Si 0.9344 0.5724 0.6895  4 O 1.62-1.64
42 Si 0.4344 0.4276 0.3105  4 O 1.62-1.64
43 Si 0.0656 0.4276 0.3105  4 O 1.62-1.64
44 Si 0.5656 0.5724 0.6895  4 O 1.62-1.64
45 B 0.4140 0.7712 0.9112  4 O 1.46-1.50
46 B 0.4140 0.2712 0.5888  4 O 1.46-1.50
47 B 0.9140 0.7288 0.4112  4 O 1.46-1.50
48 B 0.0860 0.7712 0.9112  4 O 1.46-1.50
49 B 0.9140 0.2288 0.0888  4 O 1.46-1.50
50 B 0.5860 0.2288 0.0888  4 O 1.46-1.50
51 B 0.5860 0.7288 0.4112  4 O 1.46-1.50
52 B 0.0860 0.2712 0.5888  4 O 1.46-1.50

DOS(E_F) in states/eV/cell: 0.00
Formation energy from raw total energies in meV/atom: -3025
Energy in eV per atom: -12.59
M_tot in μB per cell: 0.00